VASP calculation (GGA-PBE) on an optimized crystal structure of NdScTlAg.

Cell and atoms, written as CIF:
```
data_NdScTlAg
_chemical_formula_sum 'Nd1 Sc1 Tl1 Ag1'
_symmetry_space_group_name_H-M 'P 4 m m'
_symmetry_Int_Tables_number 99
_symmetry_space_group_name_Hall 'P 4 -2'
_cell_length_a 3.594
_cell_length_b 3.594
_cell_length_c 7.676
_cell_angle_alpha 90.00
_cell_angle_beta 90.00
_cell_angle_gamma 90.00
loop_
_atom_site_label
_atom_site_fract_x
_atom_site_fract_y
_atom_site_fract_z
Nd1 0.000 0.000 0.000
Sc1 0.000 0.000 0.531
Tl1 0.500 0.500 0.289
Ag1 0.500 0.500 0.723
```

Output
Its total energy is -4.3808 eV/atom. The value obtained for the energy of formation from the pure elements is -0.302 eV per atom. For the magnetic moment, the calculation gives 0.3 Bohr magnetons per cell. Its energy above the most stable polymorph in this dataset is 0.0 meV per atom.